No. 1
A plane-wave DFT calculation with PBE was carried out for an optimized crystal structure of MgSiPb3.

Calculated values
spin magnetization	0.00	μB per formula unit
raw formation energy	245	kJ/mol of formula units
crystal system	cubic
E_tot	-15.6	eV/f.u.
offset from the most stable computed form	0.00	eV/f.u.
SG	Pm-3m, No. 221

Unit cell a=5.458 b=5.458 c=5.458 alpha=90.00 beta=90.00 gamma=90.00
Positions (direct):
Mg 0.000 0.000 0.000
Si 0.500 0.500 0.500
Pb 0.000 0.500 0.500
Pb 0.500 0.000 0.500
Pb 0.500 0.500 0.000

---

No. 2
A plane-wave DFT calculation with PBE was carried out for an optimized crystal structure of SrMgI2O.

Calculated values
spin magnetization	0.00	μB per formula unit
raw formation energy	-371	kJ/mol of formula units
crystal system	tetragonal
E_tot	-15.2	eV/f.u.
offset from the most stable computed form	3.09	eV/f.u.
SG	P4/mmm, No. 123

Unit cell a=6.397 b=6.397 c=4.326 alpha=90.00 beta=90.00 gamma=90.00
Positions (direct):
Sr 0.000 0.000 0.000
Mg 0.500 0.500 0.500
I 0.000 0.500 0.000
I 0.500 0.000 0.000
O 0.000 0.000 0.500

---

No. 3
A plane-wave DFT calculation with PBE was carried out for an optimized crystal structure of SrBePb2.

Calculated values
spin magnetization	0.00	μB per formula unit
crystal system	orthorhombic
E_tot	-12.1	eV/f.u.
SG	Pmm2, No. 25
calculated formation energy	174	meV/atom

Unit cell a=3.862 b=3.995 c=7.360 alpha=90.00 beta=90.00 gamma=90.00
Positions (direct):
Sr 0.000 0.000 0.000
Be 0.500 0.500 0.312
Pb 0.000 0.000 0.442
Pb 0.500 0.500 0.688

---

No. 4
A plane-wave DFT calculation with PBE was carried out for an optimized crystal structure of Be2SnTe.

Calculated values
spin magnetization	0.00	μB per formula unit
raw formation energy	293	kJ/mol of formula units
crystal system	cubic
E_tot	-11.6	eV/f.u.
offset from the most stable computed form	2.04	eV/f.u.
SG	Fm-3m, No. 225

Unit cell a=4.719 b=4.719 c=4.719 alpha=60.00 beta=60.00 gamma=60.00
Positions (direct):
Be 0.250 0.250 0.250
Be 0.750 0.750 0.750
Sn 0.000 0.000 0.000
Te 0.500 0.500 0.500

---

No. 5
A plane-wave DFT calculation with PBE was carried out for an optimized crystal structure of Dy2ErNi2.

Calculated values
spin magnetization	0.00	μB per formula unit
crystal system	monoclinic
E_tot	-26.5	eV/f.u.
offset from the most stable computed form	0.48	eV/f.u.
SG	C2/m, No. 12
calculated formation energy	-239	meV/atom

Unit cell a=5.952 b=5.952 c=5.570 alpha=105.79 beta=105.79 gamma=37.16
Positions (direct):
Dy 0.153 0.153 0.107
Dy 0.847 0.847 0.893
Er 0.500 0.500 0.500
Ni 0.198 0.198 0.622
Ni 0.802 0.802 0.378

---

No. 6
A plane-wave DFT calculation with PBE was carried out for an optimized crystal structure of ZrSb2Pt.

Calculated values
spin magnetization	0.00	μB per formula unit
raw formation energy	-64	kJ/mol of formula units
crystal system	trigonal
E_tot	-23.5	eV/f.u.
SG	R-3m, No. 166

Unit cell a=9.084 b=9.084 c=9.084 alpha=21.48 beta=21.48 gamma=21.48
Positions (direct):
Zr 0.000 0.000 0.000
Sb 0.241 0.241 0.241
Sb 0.759 0.759 0.759
Pt 0.500 0.500 0.500

---

no.,DOS(E_F) (states/eV/f.u.)
1,3.88
2,2.32
3,1.96
4,2.94
5,5.18
6,4.34